Computed, not measured: a relaxed NdCu3Pd crystal at the GGA-PBE level of DFT.

extended XYZ file:
```
10
Lattice="-2.521 2.521 8.399 2.521 -2.521 8.399 2.521 2.521 -8.399" Properties=species:S:1:pos:R:3 pbc="T T T"
Nd 0.000 0.000 2.445
Nd 0.000 0.000 14.353
Cu 1.295 2.521 -2.075
Cu 1.226 0.000 6.324
Cu 2.521 1.295 2.075
Cu 0.000 2.521 0.256
Cu 0.000 1.226 10.474
Cu 0.000 2.521 8.143
Pd 2.521 0.000 4.200
Pd 0.000 0.000 8.399
```

Summary:
For the formation energy, the calculation gives 0.0969 eV/atom. As for the space group: I-4m2, No. 119. The volume comes out at 213.6 Å³/cell. As for the total magnetic moment: 0.0 μB per formula unit. The density of states at the Fermi level is 0.44 states/eV/atom.



Computed, not measured: a relaxed Nd6CuPd2 crystal at the GGA-PBE level of DFT.

extended XYZ file:
```
18
Lattice="6.833 0.000 0.000 0.000 7.430 0.000 -6.545 0.000 10.365" Properties=species:S:1:pos:R:3 pbc="T T T"
Nd -1.035 0.298 2.535
Nd -4.308 3.417 7.717
Nd 1.027 5.057 0.743
Nd -2.245 6.087 5.926
Nd 2.184 1.243 0.672
Nd -1.088 2.472 5.855
Nd 1.376 4.957 4.510
Nd -1.897 6.187 9.692
Nd 2.533 1.343 4.439
Nd -0.740 2.372 9.621
Nd 4.595 4.013 2.647
Nd 1.322 7.132 7.829
Cu 0.144 0.000 5.182
Cu 3.416 3.715 0.000
Pd -2.731 0.900 7.785
Pd 0.541 2.814 2.603
Pd -0.254 4.615 7.762
Pd 3.019 6.529 2.579
```

Summary:
For the formation energy, the calculation gives -0.3192 eV/atom. As for the space group: P2_1/c, No. 14. The volume comes out at 526.1 Å³/cell. As for the total magnetic moment: 0.0 μB per formula unit. The density of states at the Fermi level is 1.08 states/eV/atom.



Computed, not measured: a relaxed Nd2Cu3Pd2 crystal at the GGA-PBE level of DFT.

extended XYZ file:
```
7
Lattice="4.988 -2.196 0.000 4.988 2.196 0.000 -2.347 0.000 6.092" Properties=species:S:1:pos:R:3 pbc="T T T"
Nd 0.919 0.000 1.511
Nd 6.711 0.000 4.581
Cu 3.809 0.000 0.499
Cu 3.815 0.000 3.046
Cu 3.820 0.000 5.593
Pd -0.319 0.000 4.317
Pd 7.948 0.000 1.775
```

Summary:
For the formation energy, the calculation gives -0.4473 eV/atom. As for the space group: C2/m, No. 12. The volume comes out at 133.5 Å³/cell. As for the total magnetic moment: 0.0 μB per formula unit. The density of states at the Fermi level is 0.46 states/eV/atom.



Computed, not measured: a relaxed NdCuPd2 crystal at the GGA-PBE level of DFT.

extended XYZ file:
```
16
Lattice="5.655 0.000 0.000 0.000 8.473 0.000 0.000 0.000 7.874" Properties=species:S:1:pos:R:3 pbc="T T T"
Nd 1.414 0.000 1.404
Nd 1.414 4.237 2.514
Nd 4.241 0.000 6.470
Nd 4.241 4.237 5.360
Cu 1.414 0.000 5.954
Cu 1.414 4.237 5.648
Cu 4.241 0.000 1.921
Cu 4.241 4.237 2.226
Pd 0.000 0.000 3.937
Pd 0.000 4.237 0.000
Pd 1.414 2.004 7.369
Pd 1.414 6.470 7.369
Pd 2.827 0.000 3.937
Pd 2.827 4.237 0.000
Pd 4.241 2.004 0.505
Pd 4.241 6.470 0.505
```

Summary:
For the formation energy, the calculation gives -0.0660 eV/atom. As for the space group: Pmma, No. 51. The volume comes out at 377.3 Å³/cell. As for the total magnetic moment: 0.0 μB per formula unit. The density of states at the Fermi level is 0.47 states/eV/atom.